Material: BaHgRu2
Method: DFT, PBE-GGA
State: relaxed

```
data_BaHgRu2
_symmetry_space_group_name_H-M 'P 1'
_symmetry_Int_Tables_number 1
_cell_length_a 4.4521
_cell_length_b 4.4521
_cell_length_c 6.4942
_cell_angle_alpha 110.09
_cell_angle_beta 110.09
_cell_angle_gamma 60.03
loop_
_symmetry_equiv_pos_as_xyz
'x,y,z'
loop_
_atom_site_label
_atom_site_fract_x
_atom_site_fract_y
_atom_site_fract_z
Ba1 0.0000 0.0000 0.0000
Hg1 0.1965 0.1965 0.5894
Ru1 0.4708 0.4708 0.4126
Ru2 0.8015 0.8015 0.4052
```

Computed properties:
The energy relative to the elements is 235 meV/atom. Its space-group type is Cm.